BaDyCo4O12 | GGA+U | relaxed

As for the total DFT energy (no corrections): -104.25 eV/f.u.

a b c (Å): 5.3822 5.3822 7.4979
angles (deg): 90.00 90.00 90.00
Space group P4/mmm (No. 123)
Symmetry-distinct sites (fractional):
Ba: 0.0000 0.0000 0.0000 (multiplicity 1)
Dy: 0.5000 0.5000 0.5000 (multiplicity 1)
Co: 0.0000 0.5000 0.2499 (multiplicity 4)
O: 0.0000 0.5000 0.0000 (multiplicity 2)
O: 0.0000 0.5000 0.5000 (multiplicity 2)
O: 0.2632 0.2632 0.2694 (multiplicity 8)